Run w
Na3MnPCO7: relaxed, PBE with a Hubbard U.

```
data_Na3MnPCO7
_cell_length_a 5.2377
_cell_length_b 6.8300
_cell_length_c 9.0576
_cell_angle_alpha 90.00
_cell_angle_beta 90.18
_cell_angle_gamma 90.00
_symmetry_space_group_name_H-M 'P 1 21/m 1'
_symmetry_Int_Tables_number 11
loop_
_symmetry_equiv_pos_as_xyz
'x,y,z'
'-x,-y,-z'
'-x,y+1/2,-z'
'x,-y+1/2,z'
loop_
_atom_site_label
_atom_site_fract_x
_atom_site_fract_y
_atom_site_fract_z
_atom_site_occupancy
Na1 0.2402 0.2500 0.0828 1
Na2 0.2478 0.5033 0.7394 1
Mn1 0.2220 0.7500 0.3607 1
P1 0.2950 0.2500 0.4121 1
C1 0.2664 0.7500 0.0607 1
O1 0.0412 0.7500 0.1216 1
O2 0.1724 0.2500 0.5680 1
O3 0.2145 0.0673 0.3201 1
O4 0.2895 0.7500 0.9183 1
O5 0.4079 0.7500 0.5690 1
O6 0.4687 0.7500 0.1454 1
```

---

Run x
Na3MnPCO7: relaxed, PBE with a Hubbard U.

```
data_Na3MnPCO7
_cell_length_a 5.3211
_cell_length_b 6.7396
_cell_length_c 9.0875
_cell_angle_alpha 90.00
_cell_angle_beta 90.18
_cell_angle_gamma 90.00
_symmetry_space_group_name_H-M 'P 1 21 1'
_symmetry_Int_Tables_number 4
loop_
_symmetry_equiv_pos_as_xyz
'x,y,z'
'-x,y+1/2,-z'
loop_
_atom_site_label
_atom_site_fract_x
_atom_site_fract_y
_atom_site_fract_z
_atom_site_occupancy
Na1 0.0002 0.0000 0.9997 1
Na2 0.0589 0.2512 0.6651 1
Na3 0.5000 0.0006 0.5001 1
Mn1 0.4772 0.7503 0.7941 1
P1 0.4830 0.7503 0.1577 1
C1 0.9996 0.2504 0.3490 1
O1 0.0545 0.7500 0.7897 1
O2 0.1780 0.7506 0.5527 1
O3 0.1961 0.7501 0.1349 1
O4 0.2353 0.2507 0.3924 1
O5 0.3757 0.2506 0.9926 1
O6 0.4291 0.0657 0.7509 1
O7 0.4298 0.4350 0.7507 1
```

---

The most stable of them is run w.

---

Run w
Na2MnPCO7: relaxed, PBE with a Hubbard U.

```
data_Na2MnPCO7
_cell_length_a 6.5869
_cell_length_b 10.3977
_cell_length_c 10.5210
_cell_angle_alpha 60.80
_cell_angle_beta 88.87
_cell_angle_gamma 88.63
_symmetry_space_group_name_H-M 'P 1'
_symmetry_Int_Tables_number 1
loop_
_symmetry_equiv_pos_as_xyz
'x,y,z'
loop_
_atom_site_label
_atom_site_fract_x
_atom_site_fract_y
_atom_site_fract_z
_atom_site_occupancy
Na1 0.0000 0.0000 0.0000 1
Na2 0.0002 0.4733 0.0238 1
Na3 0.0123 0.9773 0.5097 1
Na4 0.4819 0.9768 0.5224 1
Na5 0.4992 0.0044 0.0024 1
Na6 0.5082 0.4696 0.0088 1
Na7 0.7225 0.3219 0.3523 1
Na8 0.9832 0.4658 0.5480 1
Mn1 0.2556 0.5825 0.2063 1
Mn2 0.2609 0.5819 0.6987 1
Mn3 0.7476 0.8698 0.3374 1
Mn4 0.7545 0.8740 0.8331 1
P1 0.2466 0.8011 0.3354 1
P2 0.2537 0.8015 0.8337 1
P3 0.7533 0.6600 0.1997 1
P4 0.7550 0.6505 0.7114 1
C1 0.2413 0.3056 0.3669 1
C2 0.2487 0.3065 0.8660 1
C3 0.7472 0.1547 0.1821 1
C4 0.7529 0.1512 0.6617 1
O1 0.0567 0.8991 0.3231 1
O2 0.0640 0.8948 0.8294 1
O3 0.2175 0.3871 0.4268 1
O4 0.2417 0.6537 0.4772 1
O5 0.2426 0.1667 0.4296 1
O6 0.2429 0.1682 0.9322 1
O7 0.2453 0.7744 0.1997 1
O8 0.2463 0.3881 0.9280 1
O9 0.2458 0.7762 0.6967 1
O10 0.2588 0.3824 0.7223 1
O11 0.2601 0.6512 0.9747 1
O12 0.2694 0.3842 0.2217 1
O13 0.4380 0.8915 0.3235 1
O14 0.4437 0.8937 0.8176 1
O15 0.5641 0.5577 0.7414 1
O16 0.5675 0.5641 0.2153 1
O17 0.7392 0.0668 0.3262 1
O18 0.7440 0.7988 0.5680 1
O19 0.7447 0.8121 0.0608 1
O20 0.7480 0.0769 0.8068 1
O21 0.7481 0.0884 0.1064 1
O22 0.7512 0.0664 0.6021 1
O23 0.7535 0.2929 0.1347 1
O24 0.7586 0.2886 0.5903 1
O25 0.7672 0.6854 0.3350 1
O26 0.7714 0.6826 0.8446 1
O27 0.9387 0.5640 0.2019 1
O28 0.9438 0.5582 0.7167 1
```

---

Run x
Na2MnPCO7: relaxed, PBE with a Hubbard U.

```
data_Na2MnPCO7
_cell_length_a 5.2423
_cell_length_b 6.6546
_cell_length_c 9.0384
_cell_angle_alpha 90.00
_cell_angle_beta 91.14
_cell_angle_gamma 90.00
_symmetry_space_group_name_H-M 'P 1 21/m 1'
_symmetry_Int_Tables_number 11
loop_
_symmetry_equiv_pos_as_xyz
'x,y,z'
'-x,-y,-z'
'-x,y+1/2,-z'
'x,-y+1/2,z'
loop_
_atom_site_label
_atom_site_fract_x
_atom_site_fract_y
_atom_site_fract_z
_atom_site_occupancy
Na1 0.2321 0.0075 0.2654 1
Mn1 0.2244 0.2500 0.8583 1
P1 0.2926 0.7500 0.9256 1
C1 0.2812 0.2500 0.5806 1
O1 0.0657 0.2500 0.6567 1
O2 0.1667 0.7500 0.0789 1
O3 0.2171 0.5616 0.8349 1
O4 0.2774 0.2500 0.4420 1
O5 0.4060 0.2500 0.0505 1
O6 0.4837 0.2500 0.6656 1
```

---

The most stable of them is run x.

---

Run w
NaMnPCO7: relaxed, PBE with a Hubbard U.

```
data_NaMnPCO7
_cell_length_a 5.1908
_cell_length_b 6.2319
_cell_length_c 9.3892
_cell_angle_alpha 90.00
_cell_angle_beta 91.21
_cell_angle_gamma 90.00
_symmetry_space_group_name_H-M 'P 1 21 1'
_symmetry_Int_Tables_number 4
loop_
_symmetry_equiv_pos_as_xyz
'x,y,z'
'-x,y+1/2,-z'
loop_
_atom_site_label
_atom_site_fract_x
_atom_site_fract_y
_atom_site_fract_z
_atom_site_occupancy
Na1 0.2217 0.0000 0.2743 1
Mn1 0.2196 0.8067 0.8497 1
P1 0.2824 0.3017 0.9364 1
C1 0.3023 0.8025 0.5968 1
O1 0.0706 0.7997 0.6532 1
O2 0.1318 0.2944 0.0754 1
O3 0.2060 0.4958 0.8401 1
O4 0.2163 0.1106 0.8367 1
O5 0.3470 0.8108 0.4688 1
O6 0.4232 0.8111 0.0283 1
O7 0.4817 0.7965 0.7003 1
```

---

Run x
NaMnPCO7: relaxed, PBE with a Hubbard U.

```
data_NaMnPCO7
_cell_length_a 10.4130
_cell_length_b 12.5113
_cell_length_c 10.5472
_cell_angle_alpha 90.00
_cell_angle_beta 119.17
_cell_angle_gamma 90.00
_symmetry_space_group_name_H-M 'C 1 m 1'
_symmetry_Int_Tables_number 8
loop_
_symmetry_equiv_pos_as_xyz
'x,y,z'
'x,-y,z'
'x+1/2,y+1/2,z'
'x+1/2,-y+1/2,z'
loop_
_atom_site_label
_atom_site_fract_x
_atom_site_fract_y
_atom_site_fract_z
_atom_site_occupancy
Na1 0.0000 0.1246 0.0000 1
Na2 0.0502 0.1500 0.5491 1
Mn1 0.2032 0.5000 0.4264 1
Mn2 0.2165 0.0000 0.4295 1
Mn3 0.3338 0.2503 0.1236 1
P1 0.1959 0.2519 0.3408 1
P2 0.3394 0.0000 0.2003 1
P3 0.3534 0.5000 0.2187 1
C1 0.1616 0.2571 0.8653 1
C2 0.3688 0.5000 0.6873 1
C3 0.3901 0.0000 0.6870 1
O1 0.0478 0.2547 0.1989 1
O2 0.0720 0.2516 0.7350 1
O3 0.1264 0.2610 0.9707 1
O4 0.2064 0.1543 0.4365 1
O5 0.2147 0.0000 0.2438 1
O6 0.2174 0.3472 0.4427 1
O7 0.2241 0.5000 0.2513 1
O8 0.2258 0.5000 0.6246 1
O9 0.2428 0.0000 0.6302 1
O10 0.3062 0.2563 0.9226 1
O11 0.3099 0.0980 0.0995 1
O12 0.3237 0.2506 0.3037 1
O13 0.3491 0.4041 0.1224 1
O14 0.4145 0.5000 0.5891 1
O15 0.4223 0.0000 0.5798 1
O16 0.4535 0.5000 0.8212 1
O17 0.4794 0.0000 0.8166 1
O18 0.4910 0.0000 0.3354 1
O19 0.4984 0.5000 0.3655 1
```

---

The most stable of them is run w.